Version i
Sc2NbC2: relaxed, GGA-PBE.

For the total magnetic moment, the calculation gives 0.00 μB per formula unit.

a b c (Å): 5.655 5.655 5.640
angles (deg): 98.84 98.84 120.48
Fractional positions:
Sc1 0.080 0.920 0.750
Sc2 0.242 0.758 0.250
Sc3 0.758 0.242 0.750
Sc4 0.920 0.080 0.250
Nb1 0.442 0.558 0.750
Nb2 0.558 0.442 0.250
C1 0.184 0.345 0.003
C2 0.345 0.184 0.503
C3 0.655 0.816 0.497
C4 0.816 0.655 0.997

Version ii
Sc2NbC2: relaxed, GGA-PBE.

For the total magnetic moment, the calculation gives 0.00 μB per formula unit.

a b c (Å): 6.283 6.283 3.319
angles (deg): 90.00 90.00 90.00
Fractional positions:
Sc1 0.151 0.349 0.000
Sc2 0.349 0.849 0.000
Sc3 0.651 0.151 0.000
Sc4 0.849 0.651 0.000
Nb1 0.000 0.000 0.500
Nb2 0.500 0.500 0.500
C1 0.169 0.669 0.500
C2 0.331 0.169 0.500
C3 0.669 0.831 0.500
C4 0.831 0.331 0.500

Sorted by energy, starting with the most stable: version i, version ii.

Version i
ScNb3C: relaxed, GGA-PBE.

For the total magnetic moment, the calculation gives 0.00 μB per formula unit.

a b c (Å): 4.398 4.398 4.398
angles (deg): 90.00 90.00 90.00
Fractional positions:
Sc1 0.000 0.000 0.000
Nb1 0.000 0.500 0.500
Nb2 0.500 0.000 0.500
Nb3 0.500 0.500 0.000
C1 0.500 0.500 0.500

Version ii
ScNb3C: relaxed, GGA-PBE.

For the total magnetic moment, the calculation gives 0.00 μB per formula unit.

a b c (Å): 4.686 4.686 4.686
angles (deg): 90.00 90.00 90.00
Fractional positions:
Sc1 0.000 0.000 0.000
Nb1 0.000 0.000 0.500
Nb2 0.000 0.500 0.000
Nb3 0.500 0.000 0.000
C1 0.500 0.500 0.500

Sorted by energy, starting with the most stable: version i, version ii.

Version i
ScNbC: relaxed, GGA-PBE.

For the total magnetic moment, the calculation gives 0.00 μB per formula unit.

a b c (Å): 3.271 4.410 6.569
angles (deg): 90.00 90.00 90.00
Fractional positions:
Sc1 0.250 0.250 0.137
Sc2 0.750 0.750 0.863
Nb1 0.250 0.250 0.600
Nb2 0.750 0.750 0.400
C1 0.250 0.750 0.628
C2 0.750 0.250 0.372

Version ii
ScNbC: relaxed, GGA-PBE.

For the total magnetic moment, the calculation gives 0.28 μB per formula unit.

a b c (Å): 3.206 3.206 5.237
angles (deg): 90.00 90.00 120.00
Fractional positions:
Sc1 0.000 0.000 0.000
Nb1 0.333 0.667 0.478
C1 0.667 0.333 0.261

Sorted by energy, starting with the most stable: version i, version ii.

Version i
NbC3Se: relaxed, GGA-PBE.

For the total magnetic moment, the calculation gives 0.00 μB per formula unit.

a b c (Å): 3.849 3.849 3.849
angles (deg): 90.00 90.00 90.00
Fractional positions:
Nb1 0.000 0.000 0.000
C1 0.000 0.500 0.500
C2 0.500 0.000 0.500
C3 0.500 0.500 0.000
Se1 0.500 0.500 0.500

Version ii
NbC3Se: relaxed, GGA-PBE.

For the total magnetic moment, the calculation gives 0.00 μB per formula unit.

a b c (Å): 4.259 4.259 4.259
angles (deg): 90.00 90.00 90.00
Fractional positions:
Nb1 0.000 0.000 0.000
C1 0.000 0.000 0.500
C2 0.000 0.500 0.000
C3 0.500 0.000 0.000
Se1 0.500 0.500 0.500

Sorted by energy, starting with the most stable: version ii, version i.

Version i
SmNbC2: relaxed, GGA-PBE.

For the total magnetic moment, the calculation gives 0.00 μB per formula unit.

a b c (Å): 6.052 6.052 6.052
angles (deg): 32.18 32.18 32.18
Fractional positions:
Sm1 0.000 0.000 0.000
Nb1 0.500 0.500 0.500
C1 0.237 0.237 0.237
C2 0.763 0.763 0.763

Version ii
SmNbC2: relaxed, GGA-PBE.

For the total magnetic moment, the calculation gives 0.00 μB per formula unit.

a b c (Å): 3.655 4.276 7.925
angles (deg): 90.00 90.00 90.00
Fractional positions:
Sm1 0.250 0.250 0.158
Sm2 0.750 0.750 0.842
Nb1 0.250 0.250 0.584
Nb2 0.750 0.750 0.416
C1 0.250 0.250 0.844
C2 0.250 0.750 0.566
C3 0.750 0.250 0.434
C4 0.750 0.750 0.156

Sorted by energy, starting with the most stable: version i, version ii.

Version i
NbSn2C2: relaxed, GGA-PBE.

For the total magnetic moment, the calculation gives 0.00 μB per formula unit.

a b c (Å): 6.542 6.542 3.707
angles (deg): 90.00 90.00 90.00
Fractional positions:
Nb1 0.000 0.000 0.000
Nb2 0.500 0.500 0.000
Sn1 0.148 0.352 0.500
Sn2 0.352 0.852 0.500
Sn3 0.648 0.148 0.500
Sn4 0.852 0.648 0.500
C1 0.222 0.722 0.000
C2 0.278 0.222 0.000
C3 0.722 0.778 0.000
C4 0.778 0.278 0.000

Version ii
NbSn2C2: relaxed, GGA-PBE.

For the total magnetic moment, the calculation gives 0.80 μB per formula unit.

a b c (Å): 5.774 5.774 5.774
angles (deg): 138.09 138.09 60.76
Fractional positions:
Nb1 0.000 0.000 0.000
Sn1 0.250 0.750 0.500
Sn2 0.750 0.250 0.500
C1 0.435 0.435 0.000
C2 0.565 0.565 0.000

Sorted by energy, starting with the most stable: version i, version ii.

Version i
SrNbC3: relaxed, GGA-PBE.

For the total magnetic moment, the calculation gives 0.49 μB per formula unit.

a b c (Å): 4.249 4.249 4.249
angles (deg): 90.00 90.00 90.00
Fractional positions:
Sr1 0.000 0.000 0.000
Nb1 0.500 0.500 0.500
C1 0.000 0.000 0.500
C2 0.000 0.500 0.000
C3 0.500 0.000 0.000

Version ii
SrNbC3: relaxed, GGA-PBE.

For the total magnetic moment, the calculation gives 0.00 μB per formula unit.

a b c (Å): 4.275 4.275 4.275
angles (deg): 90.00 90.00 90.00
Fractional positions:
Sr1 0.000 0.000 0.000
Nb1 0.500 0.500 0.500
C1 0.000 0.500 0.500
C2 0.500 0.000 0.500
C3 0.500 0.500 0.000

Sorted by energy, starting with the most stable: version ii, version i.

Version i
SrNb2C2: relaxed, GGA-PBE.

For the total magnetic moment, the calculation gives 0.00 μB per formula unit.

a b c (Å): 6.753 6.753 3.098
angles (deg): 90.00 90.00 90.00
Fractional positions:
Sr1 0.000 0.000 0.000
Sr2 0.500 0.500 0.000
Nb1 0.140 0.360 0.500
Nb2 0.360 0.860 0.500
Nb3 0.640 0.140 0.500
Nb4 0.860 0.640 0.500
C1 0.128 0.628 0.000
C2 0.372 0.128 0.000
C3 0.628 0.872 0.000
C4 0.872 0.372 0.000

Version ii
SrNb2C2: relaxed, GGA-PBE.

For the total magnetic moment, the calculation gives 0.00 μB per formula unit.

a b c (Å): 6.560 6.560 6.560
angles (deg): 143.18 143.18 53.05
Fractional positions:
Sr1 0.000 0.000 0.000
Nb1 0.250 0.750 0.500
Nb2 0.750 0.250 0.500
C1 0.307 0.307 0.000
C2 0.693 0.693 0.000

Sorted by energy, starting with the most stable: version ii, version i.

Version i
SrNb3C: relaxed, GGA-PBE.

For the total magnetic moment, the calculation gives 0.00 μB per formula unit.

a b c (Å): 4.533 4.533 4.533
angles (deg): 90.00 90.00 90.00
Fractional positions:
Sr1 0.000 0.000 0.000
Nb1 0.000 0.500 0.500
Nb2 0.500 0.000 0.500
Nb3 0.500 0.500 0.000
C1 0.500 0.500 0.500

Version ii
SrNb3C: relaxed, GGA-PBE.

For the total magnetic moment, the calculation gives 0.00 μB per formula unit.

a b c (Å): 4.845 4.845 4.845
angles (deg): 90.00 90.00 90.00
Fractional positions:
Sr1 0.000 0.000 0.000
Nb1 0.000 0.000 0.500
Nb2 0.000 0.500 0.000
Nb3 0.500 0.000 0.000
C1 0.500 0.500 0.500

Sorted by energy, starting with the most stable: version i, version ii.

Version i
SrNbC2: relaxed, GGA-PBE.

For the total magnetic moment, the calculation gives 0.00 μB per formula unit.

a b c (Å): 5.913 5.913 5.913
angles (deg): 118.93 118.93 91.86
Fractional positions:
Sr1 0.000 0.000 0.000
Sr2 0.750 0.250 0.500
Nb1 0.250 0.750 0.500
Nb2 0.500 0.500 0.000
C1 0.217 0.625 0.092
C2 0.375 0.467 0.592
C3 0.533 0.125 0.908
C4 0.875 0.783 0.408

Version ii
SrNbC2: relaxed, GGA-PBE.

For the total magnetic moment, the calculation gives 0.00 μB per formula unit.

a b c (Å): 4.288 4.288 4.288
angles (deg): 60.00 60.00 60.00
Fractional positions:
Sr1 0.000 0.000 0.000
Nb1 0.500 0.500 0.500
C1 0.250 0.250 0.250
C2 0.750 0.750 0.750

Sorted by energy, starting with the most stable: version i, version ii.

Version i
Ta2Nb2C3: relaxed, GGA-PBE.

For the total magnetic moment, the calculation gives 0.00 μB per formula unit.

a b c (Å): 3.174 5.450 5.453
angles (deg): 100.22 90.08 106.89
Fractional positions:
Ta1 0.131 0.261 0.369
Ta2 0.869 0.739 0.631
Nb1 0.376 0.749 0.119
Nb2 0.624 0.251 0.881
C1 0.000 0.000 0.000
C2 0.253 0.508 0.747
C3 0.747 0.492 0.253

Version ii
Ta2Nb2C3: relaxed, GGA-PBE.

For the total magnetic moment, the calculation gives 0.00 μB per formula unit.

a b c (Å): 5.451 5.451 5.467
angles (deg): 99.63 99.63 33.63
Fractional positions:
Ta1 0.126 0.126 0.383
Ta2 0.874 0.874 0.617
Nb1 0.369 0.369 0.128
Nb2 0.631 0.631 0.872
C1 0.249 0.249 0.745
C2 0.500 0.500 0.500
C3 0.751 0.751 0.255

Sorted by energy, starting with the most stable: version ii, version i.

Version i
TaNbC: relaxed, GGA-PBE.

For the total magnetic moment, the calculation gives 0.00 μB per formula unit.

a b c (Å): 3.138 3.138 4.982
angles (deg): 90.00 90.00 120.00
Fractional positions:
Ta1 0.000 0.000 0.000
Nb1 0.333 0.667 0.504
C1 0.667 0.333 0.248

Version ii
TaNbC: relaxed, GGA-PBE.

For the total magnetic moment, the calculation gives 0.00 μB per formula unit.

a b c (Å): 5.946 5.946 5.482
angles (deg): 117.20 117.20 30.21
Fractional positions:
Ta1 0.000 0.000 0.000
Ta2 0.746 0.746 0.051
Nb1 0.254 0.254 0.559
Nb2 0.500 0.500 0.477
C1 0.365 0.365 0.014
C2 0.634 0.634 0.281

Sorted by energy, starting with the most stable: version i, version ii.